P | # NaIn2Ag4 | the Alexandria database | PBE | optimized geometry
# * mass density: 7.89 g/cm³
# * DOS(E_F): 4.2 states/eV/cell
data_NaIn2Ag4
_cell_length_a 5.5976
_cell_length_b 7.4493
_cell_length_c 7.6052
_cell_angle_alpha 67.81
_cell_angle_beta 80.80
_cell_angle_gamma 80.35
_space_group_name_H-M_alt 'P 1'
_space_group_IT_number 1
loop_
_space_group_symop_operation_xyz
'x,y,z'
loop_
_atom_site_label
_atom_site_type_symbol
_atom_site_fract_x
_atom_site_fract_y
_atom_site_fract_z
_atom_site_occupancy
Na1 Na 0.0000 0.0000 0.0000 1
Na2 Na 0.3823 0.1706 0.1678 1
In1 In 0.0258 0.3669 0.6099 1
In2 In 0.3315 0.5684 0.8067 1
In3 In 0.5198 0.7805 0.0537 1
In4 In 0.8609 0.1268 0.3785 1
Ag1 Ag 0.0273 0.5572 0.1830 1
Ag2 Ag 0.1837 0.7705 0.4012 1
Ag3 Ag 0.3417 0.9992 0.6022 1
Ag4 Ag 0.4875 0.4238 0.3765 1
Ag5 Ag 0.5749 0.1944 0.7703 1
Ag6 Ag 0.6838 0.7413 0.4315 1
Ag7 Ag 0.7943 0.4113 0.9699 1
Ag8 Ag 0.8691 0.8130 0.7386 1

Q | # NaIn2Ag4 | the Alexandria database | PBE | optimized geometry
# * mass density: 7.38 g/cm³
# * DOS(E_F): 6.2 states/eV/cell
data_NaIn2Ag4
_cell_length_a 8.0759
_cell_length_b 8.0759
_cell_length_c 4.7195
_cell_angle_alpha 90.00
_cell_angle_beta 90.00
_cell_angle_gamma 90.00
_space_group_name_H-M_alt 'P 42/m n m'
_space_group_IT_number 136
_space_group_name_Hall '-P 4n 2n'
loop_
_atom_site_label
_atom_site_type_symbol
_atom_site_fract_x
_atom_site_fract_y
_atom_site_fract_z
_atom_site_occupancy
Na1 Na 0.0000 0.0000 0.0000 1
In1 In 0.2130 0.2130 0.5000 1
Ag1 Ag 0.1115 0.6337 0.5000 1

Most stable: P (next structure +6 meV/atom)

P | # Na2In6Ag | the Alexandria database | PBE | optimized geometry
# * mass density: 6.03 g/cm³
# * DOS(E_F): 3.7 states/eV/cell
data_Na2In6Ag
_cell_length_a 8.8892
_cell_length_b 8.8892
_cell_length_c 3.3906
_cell_angle_alpha 90.00
_cell_angle_beta 90.00
_cell_angle_gamma 120.00
_space_group_name_H-M_alt 'P 6/m m m'
_space_group_IT_number 191
_space_group_name_Hall '-P 6 2'
loop_
_atom_site_label
_atom_site_type_symbol
_atom_site_fract_x
_atom_site_fract_y
_atom_site_fract_z
_atom_site_occupancy
Na1 Na 0.3333 0.6667 0.0000 1
In1 In 0.0000 0.3270 0.5000 1
Ag1 Ag 0.0000 0.0000 0.0000 1

Q | # Na2In6Ag | the Alexandria database | PBE | optimized geometry
# * mass density: 5.76 g/cm³
# * DOS(E_F): 7.9 states/eV/cell
data_Na2In6Ag
_cell_length_a 11.6697
_cell_length_b 6.7630
_cell_length_c 6.1569
_cell_angle_alpha 90.00
_cell_angle_beta 90.64
_cell_angle_gamma 90.00
_space_group_name_H-M_alt 'C 1 2/m 1'
_space_group_IT_number 12
loop_
_space_group_symop_operation_xyz
'x,y,z'
'-x,-y,-z'
'-x,y,-z'
'x,-y,z'
'x+1/2,y+1/2,z'
'-x+1/2,-y+1/2,-z'
'-x+1/2,y+1/2,-z'
'x+1/2,-y+1/2,z'
loop_
_atom_site_label
_atom_site_type_symbol
_atom_site_fract_x
_atom_site_fract_y
_atom_site_fract_z
_atom_site_occupancy
Na1 Na 0.1675 0.0000 0.3346 1
In1 In 0.0891 0.2324 0.8179 1
In2 In 0.1774 0.5000 0.1850 1
Ag1 Ag 0.0000 0.5000 0.5000 1

Most stable: Q (next structure +31 meV/atom)

P | # Na3In3Ag2 | the Alexandria database | PBE | optimized geometry
# * mass density: 5.35 g/cm³
# * DOS(E_F): 3.7 states/eV/cell
data_Na3In3Ag2
_cell_length_a 8.5358
_cell_length_b 8.5358
_cell_length_c 3.0937
_cell_angle_alpha 90.00
_cell_angle_beta 90.00
_cell_angle_gamma 120.00
_space_group_name_H-M_alt 'P -6 2 m'
_space_group_IT_number 189
_space_group_name_Hall 'P -6 -2'
loop_
_atom_site_label
_atom_site_type_symbol
_atom_site_fract_x
_atom_site_fract_y
_atom_site_fract_z
_atom_site_occupancy
Na1 Na 0.0000 0.2447 0.0000 1
In1 In 0.0000 0.6040 0.5000 1
Ag1 Ag 0.3333 0.6667 0.0000 1

Q | # Na3In3Ag2 | the Alexandria database | PBE | optimized geometry
# * mass density: 5.44 g/cm³
# * DOS(E_F): 3.6 states/eV/cell
data_Na3In3Ag2
_cell_length_a 4.7699
_cell_length_b 4.8588
_cell_length_c 8.9379
_cell_angle_alpha 105.53
_cell_angle_beta 105.23
_cell_angle_gamma 90.31
_space_group_name_H-M_alt 'P -1'
_space_group_IT_number 2
loop_
_space_group_symop_operation_xyz
'x,y,z'
'-x,-y,-z'
loop_
_atom_site_label
_atom_site_type_symbol
_atom_site_fract_x
_atom_site_fract_y
_atom_site_fract_z
_atom_site_occupancy
Na1 Na 0.0000 0.0000 0.0000 1
Na2 Na 0.3623 0.8630 0.7272 1
In1 In 0.1446 0.6439 0.2923 1
In2 In 0.5000 0.5000 0.0000 1
Ag1 Ag 0.2493 0.2451 0.4938 1

Most stable: Q (next structure +12 meV/atom)